A relaxed TbEuBi2 crystal, computed with PBE-GGA.

Output
- Formation energy: -0.696 eV per atom
- Space group: P4/mmm, No. 123

a = 3.489 Å, b = 5.947 Å, c = 5.947 Å
α = 90.00°, β = 90.00°, γ = 90.00°
Last column: magnetic moment on the atom in μB.
Fractional coordinates of all 4 atoms:
Eu 0.500 0.000 0.000  -6.86
Bi 0.000 0.500 0.000  0.05
Bi 0.000 0.000 0.500  0.05
Tb 0.500 0.500 0.500  -0.10



A relaxed KZrSb crystal, computed with PBE-GGA.

Output
- Formation energy without anion corrections: 0.029 eV per atom
- Space group: Fmm2, No. 42

a = 8.573 Å, b = 8.442 Å, c = 3.366 Å
α = 80.79°, β = 76.40°, γ = 22.80°
Fractional coordinates of all 3 atoms:
Sb 0.316 0.316 0.684
K 0.988 0.988 0.012
Zr 0.695 0.695 0.305



A relaxed Th4Co2Ru crystal, computed with PBE-GGA.

Output
- Formation energy: -0.327 eV per atom
- Space group: Cc, No. 9

a = 7.415 Å, b = 7.733 Å, c = 7.502 Å
α = 109.15°, β = 107.39°, γ = 112.26°
Fractional coordinates of all 14 atoms:
Co 0.224 0.616 0.094
Co 0.362 0.420 0.549
Co 0.564 0.122 0.951
Co 0.880 0.772 0.406
Th 0.135 0.803 0.774
Th 0.494 0.389 0.229
Th 0.629 0.872 0.655
Th 0.638 0.860 0.150
Th 0.724 0.467 0.845
Th 0.238 0.960 0.350
Th 0.111 0.279 0.726
Th 0.015 0.410 0.271
Ru 0.726 0.246 0.464
Ru 0.012 0.033 0.036



A relaxed SrRe2W crystal, computed with PBE-GGA.

Output
- Formation energy: 1.300 eV per atom
- Space group: Pmmm, No. 47

a = 3.104 Å, b = 4.857 Å, c = 4.735 Å
α = 90.00°, β = 90.00°, γ = 90.00°
Fractional coordinates of all 4 atoms:
Sr 0.500 0.000 0.500
Re 0.500 0.500 0.000
Re 0.000 0.000 0.000
W 0.000 0.500 0.500



A relaxed PmSm3Tl2O crystal, computed with PBE-GGA.

Output
- Formation energy without anion corrections: -1.023 eV per atom
- Space group: Immm, No. 71

a = 4.783 Å, b = 4.762 Å, c = 9.054 Å
α = 105.25°, β = 105.32°, γ = 90.00°
Fractional coordinates of all 7 atoms:
Pm 0.500 0.000 0.000
Tl 0.360 0.360 0.721
Tl 0.640 0.640 0.279
Sm 0.000 0.500 0.000
Sm 0.173 0.173 0.345
Sm 0.827 0.827 0.655
O 0.000 0.000 0.000



A relaxed TiGeC2 crystal, computed with PBE-GGA.

Output
- Formation energy: 0.319 eV per atom
- Space group: I-42d, No. 122

a = 4.737 Å, b = 4.737 Å, c = 5.683 Å
α = 65.37°, β = 65.37°, γ = 90.00°
Fractional coordinates of all 8 atoms:
C 0.875 0.884 0.750
C 0.375 0.366 0.750
C 0.634 0.125 0.250
C 0.116 0.625 0.250
Ge 0.000 0.000 0.000
Ge 0.750 0.250 0.500
Ti 0.250 0.750 0.500
Ti 0.500 0.500 0.000



no.,calculated total energy (eV per formula unit)
1,-25.5
2,-13.7
3,-55.5
4,-34.3
5,-35.8
6,-29.7